A plane-wave DFT calculation with PBE was carried out for a relaxed structure of EuGaSb.

```
EuGaSb
1.0
3.832 0.000 0.000
0.000 3.832 0.000
-1.916 -1.916 5.468
Eu Sb Ga
1 1 1
Direct
0.618 0.618 0.237 Eu
0.922 0.922 0.845 Sb
0.309 0.309 0.619 Ga
```

Computed properties:
- Density of states at the Fermi level: 0.6720 states/eV/atom
- Formation energy (no corrections): -11.147 kcal/mol of atoms
- Distance to the lowest polymorph of the same formula: 155 meV/atom
- Theoretical density: 7.10 g cm⁻³
- Space group: No. 107

A plane-wave DFT calculation with PBE was carried out for a relaxed structure of EuGa2Sb2.

```
EuGa2Sb2
1.0
-1.999 3.600 -1.539
-2.011 -3.423 -5.395
-15.265 -4.756 8.705
Eu Ga Sb
4 8 8
Direct
0.750 0.740 0.383 Eu
0.750 0.760 0.883 Eu
0.250 0.260 0.617 Eu
0.250 0.240 0.117 Eu
0.750 0.544 0.209 Ga
0.750 0.956 0.709 Ga
0.250 0.456 0.791 Ga
0.250 0.044 0.291 Ga
0.750 0.936 0.569 Ga
0.750 0.564 0.069 Ga
0.250 0.064 0.431 Ga
0.250 0.436 0.931 Ga
0.750 0.950 0.210 Sb
0.750 0.550 0.710 Sb
0.250 0.050 0.790 Sb
0.250 0.450 0.290 Sb
0.750 0.279 0.470 Sb
0.750 0.221 0.970 Sb
0.250 0.721 0.530 Sb
0.250 0.779 0.030 Sb
```

Computed properties:
- Density of states at the Fermi level: 2.1342 states/eV/atom
- Formation energy (no corrections): -11.540 kcal/mol of atoms
- Theoretical density: 6.63 g cm⁻³
- Space group: No. 62

A plane-wave DFT calculation with PBE was carried out for a relaxed structure of EuScGa2.

```
EuScGa2
1.0
-2.697 2.132 -0.718
-3.200 -0.734 1.249
-0.165 5.244 7.597
Eu Sc Ga
1 1 2
Direct
0.500 0.500 0.500 Eu
0.000 0.000 0.000 Sc
0.743 0.743 0.770 Ga
0.257 0.257 0.230 Ga
```

Computed properties:
- Density of states at the Fermi level: 1.2188 states/eV/atom
- Calculated formation energy: -289 meV/atom
- Theoretical density: 5.80 g cm⁻³
- Space group: No. 166